Density functional theory data (PBE) for a relaxed structure of Sr5CaIn3.

Summary:
The value obtained for the calculated formation energy is -0.29 eV/atom. The size of the total moment comes out at 0.00 Bohr magnetons per cell. Its final energy is -42.435 eV per cell.

Cell lengths 10.201, 10.201, 7.488 Å; angles 90.00, 90.00, 120.00 degrees
Sites, in units of the cell vectors:
1 Sr 0.000 0.328 0.250
2 Sr 0.000 0.672 0.750
3 Sr 0.328 0.000 0.250
4 Sr 0.328 0.328 0.750
5 Sr 0.333 0.667 0.000
6 Sr 0.333 0.667 0.500
7 Sr 0.667 0.333 0.000
8 Sr 0.667 0.333 0.500
9 Sr 0.672 0.000 0.750
10 Sr 0.672 0.672 0.250
11 Ca 0.000 0.000 0.000
12 Ca 0.000 0.000 0.500
13 In 0.000 0.334 0.750
14 In 0.000 0.666 0.250
15 In 0.334 0.000 0.750
16 In 0.334 0.334 0.250
17 In 0.666 0.000 0.250
18 In 0.666 0.666 0.750